No. 1
{
  "formula": "CsMgNb",
  "functional": "PBE",
  "state": "optimized geometry",
  "spacegroup": "No. 2",
  "delta_e_f_ev_per_atom": 0.54,
  "e_above_lowest_polymorph_ev_per_fu": 0.14,
  "lattice": [[-1.784, -2.486, 3.437], [5.651, -11.870, -5.693], [2.835, 0.586, 1.894]],
  "species": ["Mg", "Mg", "Nb", "Nb", "Cs", "Cs"],
  "fractional_positions": [[0.249, 0.871, 0.482], [0.751, 0.129, 0.518], [0.750, 0.965, 0.995], [0.250, 0.035, 0.005], [0.252, 0.328, 0.047], [0.748, 0.672, 0.953]]
}

No. 2
{
  "formula": "NiSCl2",
  "functional": "PBE",
  "state": "optimized geometry",
  "spacegroup": "No. 166",
  "e_above_lowest_polymorph_ev_per_fu": 1.25,
  "formation_energy_uncorrected_ev_per_fu": 1.9,
  "lattice": [[-2.782, 11.452, 2.575], [-0.754, 11.106, 4.647], [0.034, 11.904, 1.951]],
  "species": ["Cl", "Cl", "S", "Ni"],
  "fractional_positions": [[0.058, 0.058, 0.058], [0.942, 0.942, 0.942], [0.500, 0.500, 0.500], [0.000, 0.000, 0.000]]
}

No. 3
{
  "formula": "Pu2GaSi",
  "functional": "PBE",
  "state": "optimized geometry",
  "spacegroup": "No. 11",
  "formation_energy_uncorrected_ev_per_fu": -1.3,
  "lattice": [[-1.369, -2.300, 3.497], [5.607, 0.516, 2.535], [-6.894, 4.764, 0.434]],
  "species": ["Pu", "Pu", "Pu", "Pu", "Ga", "Ga", "Si", "Si"],
  "fractional_positions": [[0.250, 0.773, 0.150], [0.250, 0.773, 0.621], [0.750, 0.227, 0.379], [0.750, 0.227, 0.850], [0.750, 0.738, 0.869], [0.250, 0.262, 0.131], [0.750, 0.678, 0.339], [0.250, 0.322, 0.661]]
}

Calculated total energy, respectively: -3.64; -2.93; -9.62 eV/atom.